The following is a PBE calculation of a relaxed HfIn2Pd9 crystal, from the Alexandria database.

Cell: 4.028 4.028 12.109 Å, 90.00 90.00 90.00°
Atoms (fractional coordinates):
Hf 0.000 0.000 0.000
In 0.000 0.000 0.335
In 0.000 0.000 0.665
Pd 0.000 0.500 0.162
Pd 0.000 0.500 0.500
Pd 0.000 0.500 0.838
Pd 0.500 0.000 0.162
Pd 0.500 0.000 0.500
Pd 0.500 0.000 0.838
Pd 0.500 0.500 0.000
Pd 0.500 0.500 0.330
Pd 0.500 0.500 0.670

Output
Energy of formation: -0.602 eV/atom